1.
First-principles (PBE) data for a relaxed structure of ThMgAs2, as listed in Alexandria via LeMat-Bulk.

a = 4.8559 Å, b = 4.8559 Å, c = 3.7889 Å
α = 90.00°, β = 90.00°, γ = 90.00°
With the nearest neighbours (Å) after each atom.
Space group P4/mmm (No. 123)
Unique sites:
Th1 0.0000 0.0000 0.0000  8 As 3.08, 4 Mg 3.43
Mg1 0.5000 0.5000 0.0000  8 As 3.08, 4 Th 3.43
As1 0.0000 0.5000 0.5000  4 Th 3.08, 4 Mg 3.08, 4 As 3.43

Output
* spin magnetization: 0.0 μB/cell
* crystal system: tetragonal
* ΔE_f: -824.8 meV/atom
* calculated volume: 22.34 A^3/atom
* uncorrected energy: -5.40 eV per atom
* energy relative to the lowest polymorph listed for this composition: 139 meV per atom


2.
First-principles (PBE) data for a relaxed structure of ThMgAs2, as listed in Alexandria via LeMat-Bulk.

a = 4.2473 Å, b = 4.2473 Å, c = 19.1397 Å
α = 90.00°, β = 90.00°, γ = 120.00°
With the nearest neighbours (Å) after each atom.
Space group R-3m (No. 166, hexagonal axes)
Unique sites:
Th1 0.0000 0.0000 0.0000  6 As 2.97
Mg1 0.0000 0.0000 0.5000  6 As 2.89
As1 0.0000 0.0000 0.2461  3 Mg 2.89, 3 Th 2.97

Output
* spin magnetization: 0.0 μB/cell
* crystal system: trigonal
* ΔE_f: -964.3 meV/atom
* calculated volume: 24.92 A^3/atom
* uncorrected energy: -5.54 eV per atom
* energy relative to the lowest polymorph listed for this composition: 0 meV per atom


3.
First-principles (PBE) data for a relaxed structure of ThMgAs2, as listed in Alexandria via LeMat-Bulk.

a = 4.1785 Å, b = 4.1785 Å, c = 20.2414 Å
α = 90.00°, β = 90.00°, γ = 120.00°
With the nearest neighbours (Å) after each atom.
Space group R3m (No. 160, hexagonal axes)
Unique sites:
Th1 0.0000 0.0000 0.0000  6 As 2.97
Mg1 0.0000 0.0000 0.8267  6 As 2.85-2.99
As1 0.0000 0.0000 0.4188  3 Mg 2.85, 3 Th 2.97
As2 0.0000 0.0000 0.5807  3 Th 2.97, 3 Mg 2.99, 1 As 3.28

Output
* spin magnetization: 0.0 μB/cell
* crystal system: trigonal
* ΔE_f: -886.2 meV/atom
* calculated volume: 25.51 A^3/atom
* uncorrected energy: -5.46 eV per atom
* energy relative to the lowest polymorph listed for this composition: 78 meV per atom